Entry 1:
Ho4TeAs3 (PBE, optimized geometry); formation energy without anion corrections = -11.9 eV per formula unit; M_tot = 0.0 μB/cell; energy = -5.914 eV/atom; DOS(E_F) = 0.242 states/eV/atom; crystal system = orthorhombic
1.0
4.1415 0.0000 0.0000
0.0000 5.8972 0.0000
0.0000 0.0000 8.3502
As Te Ho
3 1 4
direct
0.0000 0.0000 0.5000
0.5000 0.5000 0.2493
0.5000 0.5000 0.7507
0.0000 0.0000 0.0000
0.5000 0.0000 0.2709
0.5000 0.0000 0.7291
0.0000 0.5000 0.5000
0.0000 0.5000 0.0000

=====

Entry 2:
Ho5TeAs4 (PBE, optimized geometry); formation energy without anion corrections = -15.0 eV per formula unit; M_tot = 0.0 μB/cell; energy = -5.968 eV/atom; DOS(E_F) = 0.262 states/eV/atom; crystal system = orthorhombic
1.0
4.0583 0.0000 -0.7829
-0.3030 5.6576 -1.5705
0.0185 0.0009 11.0050
Ho As Te
5 4 1
direct
0.3885 0.8885 0.7770
0.8016 0.3016 0.6032
0.1984 0.6984 0.3968
0.6115 0.1115 0.2230
0.0000 0.5000 0.0000
0.4007 0.4007 0.8014
0.5993 0.5993 0.1986
0.2033 0.2033 0.4066
0.7967 0.7967 0.5934
0.0000 0.0000 0.0000

=====

Entry 3:
Ho3Te12As5 (PBE, optimized geometry); formation energy without anion corrections = -7.5 eV per formula unit; M_tot = 0.0 μB/cell; energy = -4.109 eV/atom; DOS(E_F) = 0.272 states/eV/atom; crystal system = cubic
1.0
15.1332 0.0000 0.0000
-5.0444 14.2677 0.0000
-5.0444 -7.1338 12.3562
Te Ho As
48 12 20
direct
0.5882 0.9538 0.6699
0.8655 0.2839 0.4538
0.2839 0.8655 0.9538
0.9538 0.5882 0.1699
0.7839 0.3301 0.9184
0.2161 0.6699 0.0816
0.6699 0.4538 0.5882
0.2839 0.4184 0.8301
0.5816 0.8655 0.4118
0.5462 0.2161 0.1345
0.4184 0.1345 0.5882
0.8655 0.5816 0.9118
0.7839 0.4538 0.3655
0.0816 0.9118 0.3655
0.3655 0.4118 0.0816
0.3655 0.9538 0.7839
0.3301 0.5462 0.4118
0.9184 0.8301 0.7839
0.5816 0.7161 0.6699
0.1345 0.7161 0.5462
0.1699 0.0816 0.7161
0.7161 0.5816 0.1699
0.9184 0.0882 0.6345
0.0882 0.1699 0.4538
0.0816 0.1699 0.2161
0.8301 0.9184 0.2839
0.4118 0.3655 0.5816
0.4538 0.7839 0.8655
0.7161 0.1345 0.0462
0.0462 0.4118 0.8301
0.5882 0.6345 0.4184
0.6699 0.2161 0.5816
0.5462 0.3301 0.9118
0.3301 0.7839 0.4184
0.4184 0.2839 0.3301
0.1345 0.4184 0.0882
0.1699 0.0882 0.9538
0.9538 0.3655 0.2839
0.4118 0.0462 0.3301
0.8301 0.9118 0.0462
0.6345 0.0462 0.2161
0.0462 0.6345 0.7161
0.2161 0.5462 0.6345
0.9118 0.8301 0.5462
0.4538 0.6699 0.0882
0.0882 0.9184 0.1345
0.9118 0.0816 0.8655
0.6345 0.5882 0.9184
0.1250 0.2500 0.8750
0.2500 0.1250 0.3750
0.6250 0.2500 0.3750
0.8750 0.7500 0.1250
0.2500 0.6250 0.8750
0.7500 0.8750 0.6250
0.8750 0.1250 0.2500
0.3750 0.7500 0.6250
0.6250 0.3750 0.7500
0.3750 0.6250 0.2500
0.7500 0.3750 0.1250
0.1250 0.8750 0.7500
0.0000 0.0000 0.5000
0.0000 0.5000 0.5000
0.7500 0.1250 0.8750
0.2500 0.8750 0.1250
0.7500 0.6250 0.3750
0.5000 0.0000 0.0000
0.2500 0.3750 0.6250
0.3750 0.1250 0.7500
0.6250 0.7500 0.8750
0.0000 0.5000 0.0000
0.3750 0.2500 0.1250
0.8750 0.2500 0.6250
0.6250 0.8750 0.2500
0.8750 0.6250 0.7500
0.0000 0.0000 0.0000
0.5000 0.5000 0.0000
0.1250 0.7500 0.3750
0.5000 0.0000 0.5000
0.5000 0.5000 0.5000
0.1250 0.3750 0.2500

=====

Entry 4:
Ho6TeAs5 (PBE, optimized geometry); formation energy without anion corrections = -18.3 eV per formula unit; M_tot = 0.0 μB/cell; energy = -6.010 eV/atom; DOS(E_F) = 0.216 states/eV/atom; crystal system = monoclinic
1.0
7.0896 0.1741 1.0777
1.7433 6.0144 3.5064
0.1207 0.0681 7.1679
As Te Ho
5 1 6
direct
0.0000 0.6674 0.6651
0.5000 0.5000 0.0000
0.5000 0.1619 0.6762
0.5000 0.8381 0.3238
0.0000 0.3326 0.3349
0.0000 0.0000 0.0000
0.7412 0.4355 0.6509
0.2588 0.9135 0.6509
0.7412 0.0865 0.3491
0.2588 0.5645 0.3491
0.7431 0.7367 0.0000
0.2569 0.2633 0.0000

=====

Entry 5:
HoTh2Te2As2 (PBE, optimized geometry); formation energy without anion corrections = -6.6 eV per formula unit; M_tot = 0.9 μB/cell; energy = -5.947 eV/atom; DOS(E_F) = 0.413 states/eV/atom; crystal system = tetragonal
1.0
-0.6387 -3.1698 -4.1336
4.7991 1.2613 -1.7087
0.9852 -5.0809 7.0755
Th Te As Ho
2 2 2 1
direct
0.3906 0.3906 0.7811
0.6094 0.6094 0.2189
0.1902 0.1902 0.3804
0.8098 0.8098 0.6196
0.0000 0.5000 0.0000
0.5000 0.0000 0.0000
0.0000 0.0000 0.0000

=====

Entry 6:
Ho4Tl2TeAs (PBE, optimized geometry); formation energy without anion corrections = -6.7 eV per formula unit; M_tot = 0.0 μB/cell; energy = -4.688 eV/atom; DOS(E_F) = 0.480 states/eV/atom; crystal system = monoclinic
1.0
-1.6883 1.3245 3.4307
-4.3752 -5.5572 -0.0076
6.6749 -2.3217 4.1812
Tl Ho Te As
2 4 1 1
direct
0.0000 0.5000 0.5000
0.5000 0.0000 0.5000
0.5000 0.2248 0.2204
0.0000 0.2390 0.7675
0.0000 0.7610 0.2325
0.5000 0.7752 0.7796
0.5000 0.5000 0.0000
0.0000 0.0000 0.0000

=====

Entry 7:
Ho6TlTe3As2 (PBE, optimized geometry); formation energy without anion corrections = -14.8 eV per formula unit; M_tot = 0.0 μB/cell; energy = -5.277 eV/atom; DOS(E_F) = 0.291 states/eV/atom; crystal system = monoclinic
1.0
-2.4421 2.8586 -1.8781
-5.1440 -6.3467 -2.9715
-2.5146 0.8153 9.2131
As Ho Tl Te
2 6 1 3
direct
0.1682 0.3372 0.3364
0.8318 0.6628 0.6636
0.6745 0.5670 0.3491
0.3345 0.8941 0.6690
0.9921 0.7504 0.9842
0.3255 0.4330 0.6509
0.0079 0.2496 0.0158
0.6655 0.1059 0.3310
0.5000 0.0000 0.0000
0.5000 0.5000 0.0000
0.8339 0.1683 0.6679
0.1661 0.8317 0.3321

=====

Entry 8:
HoTl2Te4As (PBE, optimized geometry); formation energy without anion corrections = -4.5 eV per formula unit; M_tot = 0.0 μB/cell; energy = -3.878 eV/atom; DOS(E_F) = 0.018 states/eV/atom; crystal system = monoclinic
1.0
4.3676 0.0000 0.0000
0.0000 8.4406 -0.4563
0.0000 2.6738 7.1170
Te Ho Tl As
4 1 2 1
direct
0.0000 0.2993 0.2227
0.5000 0.7073 0.2516
0.0000 0.7007 0.7773
0.5000 0.2927 0.7484
0.0000 0.5000 0.5000
0.0000 0.0000 0.0000
0.5000 0.0000 0.5000
0.5000 0.5000 0.0000

=====

Q: Among the records above, which one has the highest formation energy without anion corrections?
A: HoTl2Te4As

=====

Q: Which formula does entry 2 have?
A: Ho5TeAs4

=====

Repeat the fifth record exactly.
HoTh2Te2As2 (PBE, optimized geometry); formation energy without anion corrections = -6.6 eV per formula unit; M_tot = 0.9 μB/cell; energy = -5.947 eV/atom; DOS(E_F) = 0.413 states/eV/atom; crystal system = tetragonal
1.0
-0.6387 -3.1698 -4.1336
4.7991 1.2613 -1.7087
0.9852 -5.0809 7.0755
Th Te As Ho
2 2 2 1
direct
0.3906 0.3906 0.7811
0.6094 0.6094 0.2189
0.1902 0.1902 0.3804
0.8098 0.8098 0.6196
0.0000 0.5000 0.0000
0.5000 0.0000 0.0000
0.0000 0.0000 0.0000